TlIn2Os (GGA-PBE, relaxed); volume = 90 Å³/f.u.; DFT formation energy = 1.81 eV per formula unit; D(E_F) = 0.75 states/eV/atom; crystal system = trigonal; offset from the most stable computed form = 93 meV/atom; symmetry = R-3m
1.0
1.614 0.932 9.964
-1.614 0.932 9.964
0.000 -1.863 9.964
Tl In Os
1 2 1
Direct
0.000 0.000 0.000
0.236 0.236 0.236
0.764 0.764 0.764
0.500 0.500 0.500

=====

Sc6GeRh5 (GGA-PBE, relaxed); volume = 207 Å³/f.u.; DFT formation energy = -11.32 eV per formula unit; D(E_F) = 0.39 states/eV/atom; crystal system = orthorhombic; symmetry = Immm
1.0
-2.293 3.256 6.917
2.293 -3.256 6.917
2.293 3.256 -6.917
Sc Ge Rh
6 1 5
Direct
0.079 0.331 0.747
0.244 0.000 0.244
0.416 0.669 0.747
0.584 0.331 0.253
0.756 0.000 0.756
0.921 0.669 0.253
0.500 0.500 0.000
0.000 0.500 0.500
0.167 0.167 0.000
0.333 0.833 0.500
0.667 0.167 0.500
0.833 0.833 0.000

=====

La3Pr8Sc2 (GGA-PBE, relaxed); volume = 467 Å³/f.u.; DFT formation energy = 2.85 eV per formula unit; D(E_F) = 1.49 states/eV/atom; crystal system = monoclinic; symmetry = C2/m
1.0
7.682 -4.616 0.000
7.682 4.616 0.000
-2.314 0.000 6.581
La Pr Sc
3 8 2
Direct
0.000 0.000 0.000
0.175 0.825 0.500
0.825 0.175 0.500
0.191 0.191 0.899
0.198 0.557 0.805
0.388 0.388 0.290
0.443 0.802 0.195
0.557 0.198 0.805
0.612 0.612 0.710
0.802 0.443 0.195
0.809 0.809 0.101
0.194 0.194 0.427
0.806 0.806 0.573